Entry 1:
Compound: CoIBr3
Source: Alexandria via LeMat-Bulk
Functional: PBEsol
Structure: relaxed

a = 4.8618 Å, b = 4.8618 Å, c = 4.8618 Å
α = 90.00°, β = 90.00°, γ = 90.00°
Fractional coordinates of all 5 atoms:
Co 0.0000 0.0000 0.0000
I 0.5000 0.5000 0.5000
Br 0.0000 0.0000 0.5000
Br 0.0000 0.5000 0.0000
Br 0.5000 0.0000 0.0000

E_tot ... -2.920 eV/atom
Space-group type ... Pm-3m
Formation energy from raw total energies ... 103 meV/atom

***

Entry 2:
Compound: CoI3Br
Source: Alexandria via LeMat-Bulk
Functional: PBEsol
Structure: relaxed

a = 5.1541 Å, b = 5.1541 Å, c = 5.1541 Å
α = 90.00°, β = 90.00°, γ = 90.00°
Fractional coordinates of all 5 atoms:
Co 0.0000 0.0000 0.0000
I 0.0000 0.0000 0.5000
I 0.0000 0.5000 0.0000
I 0.5000 0.0000 0.0000
Br 0.5000 0.5000 0.5000

E_tot ... -2.736 eV/atom
Space-group type ... Pm-3m
Formation energy from raw total energies ... 246 meV/atom

***

Entry 3:
Compound: CoI2BrN
Source: Alexandria via LeMat-Bulk
Functional: PBEsol
Structure: relaxed

a = 5.9449 Å, b = 5.9449 Å, c = 3.6805 Å
α = 90.00°, β = 90.00°, γ = 90.00°
Fractional coordinates of all 5 atoms:
Co 0.0000 0.0000 0.0000
I 0.0000 0.5000 0.5000
I 0.5000 0.0000 0.5000
Br 0.5000 0.5000 0.5000
N 0.5000 0.5000 0.0000

E_tot ... -2.655 eV/atom
Space-group type ... P4/mmm
Formation energy from raw total energies ... 1678 meV/atom

***

Entry 4:
Compound: CoSe2IBr
Source: Alexandria via LeMat-Bulk
Functional: PBEsol
Structure: relaxed

a = 5.4081 Å, b = 5.4081 Å, c = 5.3153 Å
α = 90.00°, β = 90.00°, γ = 90.00°
Fractional coordinates of all 5 atoms:
Co 0.0000 0.0000 0.0000
Se 0.0000 0.5000 0.5000
Se 0.5000 0.0000 0.5000
I 0.5000 0.5000 0.5000
Br 0.5000 0.5000 0.0000

E_tot ... -2.519 eV/atom
Space-group type ... P4/mmm
Formation energy from raw total energies ... 1296 meV/atom

***

Entry 5:
Compound: Ti2CoIBr
Source: Alexandria via LeMat-Bulk
Functional: PBEsol
Structure: relaxed

a = 4.5586 Å, b = 4.5586 Å, c = 6.2115 Å
α = 90.00°, β = 90.00°, γ = 90.00°
Fractional coordinates of all 5 atoms:
Ti 0.0000 0.5000 0.0000
Ti 0.5000 0.0000 0.0000
Co 0.0000 0.0000 0.5000
I 0.5000 0.5000 0.5000
Br 0.5000 0.5000 0.0000

E_tot ... -4.342 eV/atom
Space-group type ... P4/mmm
Formation energy from raw total energies ... 1262 meV/atom

***

Entry 6:
Compound: InCoBr3
Source: Alexandria via LeMat-Bulk
Functional: PBEsol
Structure: relaxed

a = 4.9415 Å, b = 4.9415 Å, c = 4.9415 Å
α = 90.00°, β = 90.00°, γ = 90.00°
Fractional coordinates of all 5 atoms:
In 0.0000 0.0000 0.0000
Co 0.5000 0.5000 0.5000
Br 0.0000 0.5000 0.5000
Br 0.5000 0.0000 0.5000
Br 0.5000 0.5000 0.0000

E_tot ... -3.542 eV/atom
Space-group type ... Pm-3m
Formation energy from raw total energies ... -276 meV/atom

***

Entry 7:
Compound: InCoBr2
Source: Alexandria via LeMat-Bulk
Functional: PBEsol
Structure: relaxed

a = 3.9267 Å, b = 3.4043 Å, c = 7.1791 Å
α = 90.00°, β = 105.74°, γ = 90.00°
Fractional coordinates of all 4 atoms:
In 0.0000 0.0000 0.0000
Co 0.4670 0.5000 0.9336
Br 0.3409 0.0000 0.6789
Br 0.6360 0.5000 0.2731

E_tot ... -3.782 eV/atom
Distance to the lowest polymorph of the same formula ... 0.000 eV/atom
Space-group type ... Pm
Formation energy from raw total energies ... -167 meV/atom

***

Entry 8:
Compound: In2CoBr
Source: Alexandria via LeMat-Bulk
Functional: PBEsol
Structure: relaxed

a = 8.0875 Å, b = 8.0875 Å, c = 8.0875 Å
α = 156.61°, β = 155.75°, γ = 33.95°
Fractional coordinates of all 4 atoms:
In 0.0000 0.0000 0.0000
In 0.6969 0.1969 0.5000
Co 0.5691 0.5691 0.0000
Br 0.3274 0.8274 0.5000

E_tot ... -3.820 eV/atom
Distance to the lowest polymorph of the same formula ... 0.000 eV/atom
Space-group type ... Imm2
Formation energy from raw total energies ... 73 meV/atom

***

Entry 9:
Compound: InCo3Br
Source: Alexandria via LeMat-Bulk
Functional: PBEsol
Structure: relaxed

a = 4.7165 Å, b = 4.7165 Å, c = 4.7165 Å
α = 90.00°, β = 90.00°, γ = 90.00°
Fractional coordinates of all 5 atoms:
In 0.0000 0.0000 0.0000
Co 0.0000 0.0000 0.5000
Co 0.0000 0.5000 0.0000
Co 0.5000 0.0000 0.0000
Br 0.5000 0.5000 0.5000

E_tot ... -3.958 eV/atom
Space-group type ... Pm-3m
Formation energy from raw total energies ... 1655 meV/atom

***

Entry 10:
Compound: InCoBr2
Source: Alexandria via LeMat-Bulk
Functional: PBEsol
Structure: relaxed

a = 5.3441 Å, b = 5.3441 Å, c = 3.5116 Å
α = 102.75°, β = 102.75°, γ = 94.62°
Fractional coordinates of all 4 atoms:
In 0.0000 0.0000 0.0000
Co 0.5000 0.5000 0.0000
Br 0.0000 0.5000 0.5000
Br 0.5000 0.0000 0.5000

E_tot ... -3.253 eV/atom
Distance to the lowest polymorph of the same formula ... 0.528 eV/atom
Space-group type ... C2/m
Formation energy from raw total energies ... 362 meV/atom

***

Entry 11:
Compound: In2CoBr
Source: Alexandria via LeMat-Bulk
Functional: PBEsol
Structure: relaxed

a = 5.1739 Å, b = 5.1739 Å, c = 3.0769 Å
α = 90.12°, β = 90.12°, γ = 89.98°
Fractional coordinates of all 4 atoms:
In 0.0000 0.5000 0.0000
In 0.5000 0.0000 0.0000
Co 0.0000 0.0000 0.5000
Br 0.5000 0.5000 0.5000

E_tot ... -3.609 eV/atom
Distance to the lowest polymorph of the same formula ... 0.211 eV/atom
Space-group type ... C2/m
Formation energy from raw total energies ... 284 meV/atom

***

Entry 12:
Compound: InCoBr2
Source: Alexandria via LeMat-Bulk
Functional: PBEsol
Structure: relaxed

a = 3.5722 Å, b = 3.5722 Å, c = 8.7540 Å
α = 90.00°, β = 90.00°, γ = 120.47°
Fractional coordinates of all 4 atoms:
In 0.0000 0.0000 0.0000
Co 0.0000 0.0000 0.5000
Br 0.5000 0.5000 0.3130
Br 0.5000 0.5000 0.6870

E_tot ... -3.596 eV/atom
Distance to the lowest polymorph of the same formula ... 0.186 eV/atom
Space-group type ... Cmmm
Formation energy from raw total energies ... 19 meV/atom

***

Which formula does entry 3 have?
CoI2BrN

***

What did the twelfth record say?
Compound: InCoBr2
Source: Alexandria via LeMat-Bulk
Functional: PBEsol
Structure: relaxed

a = 3.5722 Å, b = 3.5722 Å, c = 8.7540 Å
α = 90.00°, β = 90.00°, γ = 120.47°
Fractional coordinates of all 4 atoms:
In 0.0000 0.0000 0.0000
Co 0.0000 0.0000 0.5000
Br 0.5000 0.5000 0.3130
Br 0.5000 0.5000 0.6870

E_tot ... -3.596 eV/atom
Distance to the lowest polymorph of the same formula ... 0.186 eV/atom
Space-group type ... Cmmm
Formation energy from raw total energies ... 19 meV/atom

***

Among the records above, which one has the highest formation energy from raw total energies?
CoI2BrN

***

Number 8 is which compound?
In2CoBr